No. 1
Material: Ir2Os
Method: DFT, PBE
State: relaxed

a = 4.3784 Å, b = 4.3784 Å, c = 2.7555 Å
α = 90.00°, β = 90.00°, γ = 90.00°
Last column: nearest neighbours and their distance in Å.
Fractional positions:
Ir 0.0000 0.5000 0.0000  4 Os 2.59, 2 Ir 2.76
Ir 0.5000 0.0000 0.0000  4 Os 2.59, 2 Ir 2.76
Os 0.0000 0.0000 0.5000  8 Ir 2.59, 2 Os 2.76

Computed properties:
Distance to the lowest polymorph of the same formula, kJ/mol of formula units: 251.1
Total magnetic moment, μB/cell: 0.00

---

No. 2
Material: Ir3Os4
Method: DFT, PBE
State: relaxed

a = 9.7665 Å, b = 9.7665 Å, c = 9.7665 Å
α = 160.43°, β = 160.43°, γ = 27.82°
Last column: nearest neighbours and their distance in Å.
Fractional positions:
Ir 0.0000 0.0000 0.0000  10 Os 2.70-2.71
Ir 0.2848 0.2848 0.0000  4 Ir 2.69, 6 Os 2.69-2.74
Ir 0.7152 0.7152 0.0000  4 Ir 2.69, 6 Os 2.69-2.74
Os 0.1427 0.1427 0.0000  6 Ir 2.69-2.72, 4 Os 2.72
Os 0.4293 0.4293 0.0000  5 Os 2.68-2.72, 5 Ir 2.70-2.74
Os 0.5707 0.5707 0.0000  5 Os 2.68-2.72, 5 Ir 2.70-2.74
Os 0.8573 0.8573 0.0000  6 Ir 2.69-2.72, 4 Os 2.72

Computed properties:
Distance to the lowest polymorph of the same formula, kJ/mol of formula units: 0.0
Total magnetic moment, μB/cell: 1.96

---

No. 3
Material: Ir3Os2
Method: DFT, PBE
State: relaxed

a = 7.1944 Å, b = 5.1498 Å, c = 8.1896 Å
α = 60.27°, β = 38.43°, γ = 81.30°
Last column: nearest neighbours and their distance in Å.
Fractional positions:
Ir 0.0000 0.0000 0.0000  6 Os 2.58-2.79, 4 Ir 2.69-2.80
Ir 0.2500 0.2500 0.2500  6 Os 2.58-2.79, 4 Ir 2.69-2.80
Ir 0.3823 0.6444 0.4172  6 Os 2.66-2.89, 5 Ir 2.66-2.80
Ir 0.6444 0.3823 0.5561  6 Os 2.66-2.89, 5 Ir 2.66-2.80
Ir 0.6939 0.8328 0.6056  6 Os 2.66-2.89, 5 Ir 2.66-2.80
Ir 0.8328 0.6939 0.8677  6 Os 2.66-2.89, 5 Ir 2.66-2.80
Os 0.1047 0.4734 0.9861  9 Ir 2.58-2.89, 2 Os 2.69
Os 0.2639 0.8141 0.1453  9 Ir 2.58-2.89, 2 Os 2.69
Os 0.4734 0.1047 0.4359  9 Ir 2.58-2.89, 2 Os 2.69
Os 0.8141 0.2639 0.7766  9 Ir 2.58-2.89, 2 Os 2.69

Computed properties:
Distance to the lowest polymorph of the same formula, kJ/mol of formula units: 0.0
Total magnetic moment, μB/cell: 0.00

---

No. 4
Material: IrOs2
Method: DFT, PBE
State: relaxed

a = 5.1652 Å, b = 5.1652 Å, c = 6.4705 Å
α = 103.30°, β = 103.30°, γ = 30.93°
Last column: nearest neighbours and their distance in Å.
Fractional positions:
Ir 0.0000 0.0000 0.0000  8 Os 2.68-2.74, 4 Ir 2.75-2.79
Ir 0.6687 0.6687 0.3398  8 Os 2.70-2.74, 4 Ir 2.75-2.79
Os 0.0546 0.0546 0.6137  3 Ir 2.68-2.70, 9 Os 2.69-2.76
Os 0.3341 0.3341 0.6686  8 Os 2.69-2.75, 4 Ir 2.73-2.74
Os 0.3894 0.3894 0.2800  5 Ir 2.70-2.71, 7 Os 2.70-2.76
Os 0.7241 0.7241 0.9449  4 Ir 2.68-2.74, 8 Os 2.69-2.76

Computed properties:
Distance to the lowest polymorph of the same formula, kJ/mol of formula units: 4.5
Total magnetic moment, μB/cell: 0.00

---

No. 5
Material: IrOs5
Method: DFT, PBE
State: relaxed

a = 4.7736 Å, b = 4.7736 Å, c = 4.3507 Å
α = 90.00°, β = 90.00°, γ = 120.00°
Last column: nearest neighbours and their distance in Å.
Fractional positions:
Ir 0.0000 0.0000 0.0000  12 Os 2.70-2.76
Os 0.0000 0.6654 0.5000  10 Os 2.69-2.77, 2 Ir 2.70
Os 0.3333 0.6667 0.0000  9 Os 2.69-2.76, 3 Ir 2.76
Os 0.3346 0.3346 0.5000  10 Os 2.69-2.77, 2 Ir 2.70
Os 0.6654 0.0000 0.5000  10 Os 2.69-2.77, 2 Ir 2.70
Os 0.6667 0.3333 0.0000  9 Os 2.69-2.76, 3 Ir 2.76

Computed properties:
Distance to the lowest polymorph of the same formula, kJ/mol of formula units: 0.0
Total magnetic moment, μB/cell: 0.00

---

No. 6
Material: IrOs2
Method: DFT, PBE
State: relaxed

a = 7.2948 Å, b = 7.2948 Å, c = 4.3586 Å
α = 90.00°, β = 90.00°, γ = 158.19°
Last column: nearest neighbours and their distance in Å.
Fractional positions:
Ir 0.2223 0.7777 0.7500  6 Ir 2.70-2.76, 6 Os 2.71-2.78
Ir 0.7777 0.2223 0.2500  6 Ir 2.70-2.76, 6 Os 2.71-2.78
Os 0.1093 0.8907 0.2500  8 Os 2.70-2.76, 4 Ir 2.71-2.78
Os 0.4459 0.5541 0.2500  10 Os 2.67-2.76, 2 Ir 2.78
Os 0.5541 0.4459 0.7500  10 Os 2.67-2.76, 2 Ir 2.78
Os 0.8907 0.1093 0.7500  8 Os 2.70-2.76, 4 Ir 2.71-2.78

Computed properties:
Distance to the lowest polymorph of the same formula, kJ/mol of formula units: 0.0
Total magnetic moment, μB/cell: 0.00

---

No. 7
Material: IrOs
Method: DFT, PBE
State: relaxed

a = 3.8463 Å, b = 3.8463 Å, c = 5.3532 Å
α = 90.00°, β = 90.00°, γ = 120.00°
Last column: nearest neighbours and their distance in Å.
Fractional positions:
Ir 0.0000 0.0000 0.0000  6 Os 2.59, 2 Ir 2.68
Ir 0.0000 0.0000 0.5000  6 Os 2.59, 2 Ir 2.68
Os 0.3333 0.6667 0.2500  6 Ir 2.59
Os 0.6667 0.3333 0.7500  6 Ir 2.59

Computed properties:
DFT total energy, eV/atom: -9.05
Total magnetic moment, μB/cell: 1.03

---

No. 8
Material: IrOs
Method: DFT, PBE
State: relaxed

a = 2.7227 Å, b = 2.7227 Å, c = 3.8873 Å
α = 90.00°, β = 90.00°, γ = 90.00°
Last column: nearest neighbours and their distance in Å.
Fractional positions:
Ir 0.0000 0.0000 0.0000  4 Ir 2.72, 8 Os 2.74
Os 0.5000 0.5000 0.5000  4 Os 2.72, 8 Ir 2.74

Computed properties:
DFT total energy, eV/atom: -9.98
Total magnetic moment, μB/cell: 0.00